# 1
A relaxed structure of InCuNiSe3, computed with PBE.

For the raw total energy, the calculation gives -3.892 eV/atom. The calculation puts the total moment at 0.02 μB per cell. The calculation puts the volume at 19.3 Å³ per atom.

Cell and atoms, written as CIF:
```
data_InCuNiSe3
_chemical_formula_sum 'In4 Cu4 Ni4 Se12'
_cell_length_a 3.6585
_cell_length_b 13.5899
_cell_length_c 9.3001
_cell_angle_alpha 90.00
_cell_angle_beta 90.00
_cell_angle_gamma 90.00
_space_group_name_H-M_alt 'C m c m'
_space_group_IT_number 63
_space_group_name_Hall '-C 2c 2'
loop_
_atom_site_label
_atom_site_fract_x
_atom_site_fract_y
_atom_site_fract_z
In1 0.0000 0.2332 0.2500
Cu1 0.0000 0.4756 0.7500
Ni1 0.0000 0.0000 0.0000
Se1 0.0000 0.0862 0.7500
Se2 0.0000 0.3730 0.5427
```

***

# 2
A relaxed structure of InCuNi4Se8, computed with PBE.

For the raw total energy, the calculation gives -4.312 eV/atom. The calculation puts the total moment at 0.45 μB per cell. The calculation puts the volume at 20.1 Å³ per atom.

Cell and atoms, written as CIF:
```
data_InCuNi4Se8
_chemical_formula_sum 'In4 Cu4 Ni16 Se32'
_cell_length_a 10.4096
_cell_length_b 10.4096
_cell_length_c 10.4096
_cell_angle_alpha 90.00
_cell_angle_beta 90.00
_cell_angle_gamma 90.00
_space_group_name_H-M_alt 'F -4 3 m'
_space_group_IT_number 216
_space_group_name_Hall 'F -4 2 3'
loop_
_atom_site_label
_atom_site_fract_x
_atom_site_fract_y
_atom_site_fract_z
In1 0.0000 0.0000 0.0000
Cu1 0.2500 0.2500 0.7500
Ni1 0.1218 0.1218 0.3782
Se1 0.1125 0.1125 0.6125
Se2 0.1441 0.1441 0.1441
```

***

# 3
A relaxed structure of InCuNiTe2Se, computed with PBE.

For the raw total energy, the calculation gives -3.709 eV/atom. The calculation puts the total moment at 0.01 μB per cell. The calculation puts the volume at 22.1 Å³ per atom.

Cell and atoms, written as CIF:
```
data_InCuNiTe2Se
_chemical_formula_sum 'In4 Cu4 Ni4 Te8 Se4'
_cell_length_a 3.8266
_cell_length_b 14.5436
_cell_length_c 9.5497
_cell_angle_alpha 90.00
_cell_angle_beta 90.00
_cell_angle_gamma 90.00
_space_group_name_H-M_alt 'C m c m'
_space_group_IT_number 63
_space_group_name_Hall '-C 2c 2'
loop_
_atom_site_label
_atom_site_fract_x
_atom_site_fract_y
_atom_site_fract_z
In1 0.0000 0.2487 0.2500
Cu1 0.0000 0.4795 0.7500
Ni1 0.0000 0.0000 0.0000
Te1 0.0000 0.3709 0.5414
Se1 0.0000 0.0757 0.7500
```